[1]
Entry from Alexandria: a geometry-optimized Sr2PH structure (PBE).

Cell: 7.2007 7.2007 7.2007 Å, 90.00 90.00 90.00°
Closest atoms and distances in Å follow each position.
Space group Fm-3m (No. 225)
Inequivalent atoms, fractional coordinates:
Sr1 0.2500 0.2500 0.2500 [8 per cell]  4 H 3.12, 4 P 3.12
P1 0.0000 0.0000 0.0000 [4 per cell]  8 Sr 3.12
H1 0.0000 0.0000 0.5000 [4 per cell]  8 Sr 3.12

Calculated values
- Polymorph energy (0 for the lowest one): 0.143 eV per atom
- E_tot: -3.783 eV per atom


[2]
Entry from Alexandria: a geometry-optimized KMgGe2Mo structure (PBE).

Cell: 5.4496 5.4496 5.2725 Å, 90.00 90.00 90.00°
Closest atoms and distances in Å follow each position.
Space group P4/mmm (No. 123)
Inequivalent atoms, fractional coordinates:
K1 0.0000 0.0000 0.0000 [1 per cell]  2 Mo 2.64, 4 Ge 2.72
Mg1 0.5000 0.5000 0.5000 [1 per cell]  8 Ge 3.79, 4 Mo 3.85
Ge1 0.0000 0.5000 0.0000 [2 per cell]  2 K 2.72
Mo1 0.0000 0.0000 0.5000 [1 per cell]  2 K 2.64

Calculated values
- DFT formation energy: 1980 meV per atom
- E_tot: -2.571 eV per atom


Number 1: volume 23.34 Å³/atom. Number 2: volume 31.32 Å³/atom.